Record 1
# PBE MgZrMn2, relaxed
# Energy relative to the elements ... 579.7 meV/atom
# DFT total energy ... -104.65 eV per cell
# DOS at the Fermi energy ... 0.9038 states/eV/atom
# Crystal system ... tetragonal
data_MgZrMn2
_chemical_formula_sum 'Mg4 Zr4 Mn8'
_cell_length_a 7.181
_cell_length_b 7.181
_cell_length_c 5.682
_cell_angle_alpha 90.00
_cell_angle_beta 90.00
_cell_angle_gamma 90.00
_symmetry_space_group_name_H-M 'I -4 2 d'
_symmetry_Int_Tables_number 122
_symmetry_space_group_name_Hall 'I -4 2bw'
loop_
_atom_site_label
_atom_site_fract_x
_atom_site_fract_y
_atom_site_fract_z
Mg1 0.000 0.000 0.000
Zr1 0.000 0.000 0.500
Mn1 0.245 0.250 0.125



Record 2
# PBE MgZr2Mn, relaxed
# Energy relative to the elements ... 158.6 meV/atom
# DFT total energy ... -81.68 eV per cell
# DOS at the Fermi energy ... 0.7012 states/eV/atom
# Crystal system ... trigonal
data_MgZr2Mn
_chemical_formula_sum 'Mg3 Zr6 Mn3'
_cell_length_a 3.2260
_cell_length_b 3.2260
_cell_length_c 27.1600
_cell_angle_alpha 90.00
_cell_angle_beta 90.00
_cell_angle_gamma 120.00
_symmetry_space_group_name_H-M 'R -3 m'
_symmetry_Int_Tables_number 166
_symmetry_space_group_name_Hall '-R 3 2"'
loop_
_atom_site_label
_atom_site_fract_x
_atom_site_fract_y
_atom_site_fract_z
Mg1 0.0000 0.0000 0.0000
Zr1 0.0000 0.0000 0.2348
Mn1 0.0000 0.0000 0.5000



Record 3
# PBE MgZrMn2, relaxed
# Energy relative to the elements ... 168.9 meV/atom
# DFT total energy ... -55.61 eV per cell
# DOS at the Fermi energy ... 0.9772 states/eV/atom
# Crystal system ... orthorhombic
data_MgZrMn2
_chemical_formula_sum 'Mg2 Zr2 Mn4'
_cell_length_a 3.082
_cell_length_b 4.456
_cell_length_c 9.488
_cell_angle_alpha 90.00
_cell_angle_beta 90.00
_cell_angle_gamma 90.00
_symmetry_space_group_name_H-M 'I m m 2'
_symmetry_Int_Tables_number 44
_symmetry_space_group_name_Hall 'I 2 -2'
loop_
_atom_site_label
_atom_site_fract_x
_atom_site_fract_y
_atom_site_fract_z
Mg1 0.000 0.000 0.000
Zr1 0.000 0.500 0.220
Mn1 0.000 0.000 0.443
Mn2 0.000 0.500 0.750



Record 4
# PBE Mg2ZrMn2, relaxed
# Energy relative to the elements ... 357.4 meV/atom
# DFT total energy ... -56.58 eV per cell
# DOS at the Fermi energy ... 0.8803 states/eV/atom
# Crystal system ... tetragonal
data_Mg2ZrMn2
_chemical_formula_sum 'Mg4 Zr2 Mn4'
_cell_length_a 3.971
_cell_length_b 3.971
_cell_length_c 11.355
_cell_angle_alpha 90.00
_cell_angle_beta 90.00
_cell_angle_gamma 90.00
_symmetry_space_group_name_H-M 'I 4/m m m'
_symmetry_Int_Tables_number 139
_symmetry_space_group_name_Hall '-I 4 2'
loop_
_atom_site_label
_atom_site_fract_x
_atom_site_fract_y
_atom_site_fract_z
Mg1 0.000 0.500 0.250
Zr1 0.000 0.000 0.000
Mn1 0.000 0.000 0.411



Record 5
# PBE MgZr2Mn, relaxed
# Energy relative to the elements ... 91.1 meV/atom
# DFT total energy ... -27.50 eV per cell
# DOS at the Fermi energy ... 0.6805 states/eV/atom
# Crystal system ... tetragonal
data_MgZr2Mn
_chemical_formula_sum 'Mg1 Zr2 Mn1'
_cell_length_a 3.160
_cell_length_b 3.160
_cell_length_c 8.288
_cell_angle_alpha 90.00
_cell_angle_beta 90.00
_cell_angle_gamma 90.00
_symmetry_space_group_name_H-M 'P 4 m m'
_symmetry_Int_Tables_number 99
_symmetry_space_group_name_Hall 'P 4 -2'
loop_
_atom_site_label
_atom_site_fract_x
_atom_site_fract_y
_atom_site_fract_z
Mg1 0.000 0.000 0.000
Zr1 0.000 0.000 0.442
Zr2 0.500 0.500 0.712
Mn1 0.500 0.500 0.223



Record 6
# PBE Mg14ZrMn, relaxed
# Energy relative to the elements ... 60.7 meV/atom
# DFT total energy ... -78.14 eV per cell
# DOS at the Fermi energy ... 0.5664 states/eV/atom
# Crystal system ... orthorhombic
data_Mg14ZrMn
_chemical_formula_sum 'Mg28 Zr2 Mn2'
_cell_length_a 10.182
_cell_length_b 6.268
_cell_length_c 11.081
_cell_angle_alpha 90.00
_cell_angle_beta 90.00
_cell_angle_gamma 90.00
_symmetry_space_group_name_H-M 'A m m 2'
_symmetry_Int_Tables_number 38
_symmetry_space_group_name_Hall 'A 2 -2'
loop_
_atom_site_label
_atom_site_fract_x
_atom_site_fract_y
_atom_site_fract_z
Mg1 0.000 0.000 0.000
Mg2 0.000 0.000 0.499
Mg3 0.000 0.248 0.250
Mg4 0.250 0.000 0.664
Mg5 0.258 0.250 0.418
Mg6 0.265 0.000 0.159
Mg7 0.500 0.245 0.755
Zr1 0.500 0.000 0.506
Mn1 0.500 0.000 0.996



Record 7
# PBE MgZrMn2, relaxed
# Energy relative to the elements ... 222.7 meV/atom
# DFT total energy ... -27.59 eV per cell
# DOS at the Fermi energy ... 0.8481 states/eV/atom
# Crystal system ... monoclinic
data_MgZrMn2
_chemical_formula_sum 'Mg1 Zr1 Mn2'
_cell_length_a 2.991
_cell_length_b 4.494
_cell_length_c 5.554
_cell_angle_alpha 90.00
_cell_angle_beta 105.56
_cell_angle_gamma 90.00
_symmetry_space_group_name_H-M 'P 1 m 1'
_symmetry_Int_Tables_number 6
_symmetry_space_group_name_Hall 'P -2y'
loop_
_atom_site_label
_atom_site_fract_x
_atom_site_fract_y
_atom_site_fract_z
Mg1 0.000 0.000 0.000
Zr1 0.319 0.500 0.643
Mn1 0.599 0.500 0.197
Mn2 0.730 0.000 0.464



Record 8
# PBE MgZr2Mn, relaxed
# Energy relative to the elements ... -1.6 meV/atom
# DFT total energy ... -27.87 eV per cell
# DOS at the Fermi energy ... 0.8883 states/eV/atom
# Crystal system ... tetragonal
data_MgZr2Mn
_chemical_formula_sum 'Mg1 Zr2 Mn1'
_cell_length_a 3.155
_cell_length_b 3.155
_cell_length_c 7.972
_cell_angle_alpha 90.00
_cell_angle_beta 90.00
_cell_angle_gamma 90.00
_symmetry_space_group_name_H-M 'P 4/m m m'
_symmetry_Int_Tables_number 123
_symmetry_space_group_name_Hall '-P 4 2'
loop_
_atom_site_label
_atom_site_fract_x
_atom_site_fract_y
_atom_site_fract_z
Mg1 0.000 0.000 0.000
Zr1 0.500 0.500 0.304
Mn1 0.000 0.000 0.500



Record 9
# PBE MgZr2Mn, relaxed
# Energy relative to the elements ... 149.2 meV/atom
# DFT total energy ... -54.53 eV per cell
# DOS at the Fermi energy ... 1.2903 states/eV/atom
# Crystal system ... monoclinic
data_MgZr2Mn
_chemical_formula_sum 'Mg2 Zr4 Mn2'
_cell_length_a 11.140
_cell_length_b 3.208
_cell_length_c 4.904
_cell_angle_alpha 90.00
_cell_angle_beta 116.01
_cell_angle_gamma 90.00
_symmetry_space_group_name_H-M 'C 1 m 1'
_symmetry_Int_Tables_number 8
_symmetry_space_group_name_Hall 'C -2y'
loop_
_atom_site_label
_atom_site_fract_x
_atom_site_fract_y
_atom_site_fract_z
Mg1 0.000 0.000 0.000
Zr1 0.218 0.000 0.717
Zr2 0.430 0.000 0.430
Mn1 0.222 0.500 0.218



Record 10
# PBE MgZrMn2, relaxed
# Energy relative to the elements ... 188.4 meV/atom
# DFT total energy ... -55.46 eV per cell
# DOS at the Fermi energy ... 0.6163 states/eV/atom
# Crystal system ... tetragonal
data_MgZrMn2
_chemical_formula_sum 'Mg2 Zr2 Mn4'
_cell_length_a 3.971
_cell_length_b 3.971
_cell_length_c 8.702
_cell_angle_alpha 90.00
_cell_angle_beta 90.00
_cell_angle_gamma 90.00
_symmetry_space_group_name_H-M 'I -4 m 2'
_symmetry_Int_Tables_number 119
_symmetry_space_group_name_Hall 'I -4 -2'
loop_
_atom_site_label
_atom_site_fract_x
_atom_site_fract_y
_atom_site_fract_z
Mg1 0.000 0.000 0.000
Zr1 0.000 0.500 0.250
Mn1 0.000 0.000 0.500
Mn2 0.000 0.500 0.750



Record 11
# PBE MgZrMn2, relaxed
# Energy relative to the elements ... 162.8 meV/atom
# DFT total energy ... -27.83 eV per cell
# DOS at the Fermi energy ... 0.9003 states/eV/atom
# Crystal system ... orthorhombic
data_MgZrMn2
_chemical_formula_sum 'Mg1 Zr1 Mn2'
_cell_length_a 3.120
_cell_length_b 3.479
_cell_length_c 6.422
_cell_angle_alpha 90.00
_cell_angle_beta 90.00
_cell_angle_gamma 90.00
_symmetry_space_group_name_H-M 'P m m m'
_symmetry_Int_Tables_number 47
_symmetry_space_group_name_Hall '-P 2 2'
loop_
_atom_site_label
_atom_site_fract_x
_atom_site_fract_y
_atom_site_fract_z
Mg1 0.000 0.000 0.000
Zr1 0.000 0.000 0.500
Mn1 0.500 0.500 0.258



Record 12
# PBE MgZrMn2, relaxed
# Energy relative to the elements ... 98.9 meV/atom
# DFT total energy ... -28.09 eV per cell
# DOS at the Fermi energy ... 0.9677 states/eV/atom
# Crystal system ... tetragonal
data_MgZrMn2
_chemical_formula_sum 'Mg1 Zr1 Mn2'
_cell_length_a 2.926
_cell_length_b 2.926
_cell_length_c 7.690
_cell_angle_alpha 90.00
_cell_angle_beta 90.00
_cell_angle_gamma 90.00
_symmetry_space_group_name_H-M 'P 4 m m'
_symmetry_Int_Tables_number 99
_symmetry_space_group_name_Hall 'P 4 -2'
loop_
_atom_site_label
_atom_site_fract_x
_atom_site_fract_y
_atom_site_fract_z
Mg1 0.000 0.000 0.000
Zr1 0.500 0.500 0.661
Mn1 0.000 0.000 0.401
Mn2 0.500 0.500 0.254



Record 13
# PBE MgZrMn, relaxed
# Energy relative to the elements ... 142.4 meV/atom
# DFT total energy ... -37.77 eV per cell
# DOS at the Fermi energy ... 1.0692 states/eV/atom
# Crystal system ... tetragonal
data_MgZrMn
_chemical_formula_sum 'Mg2 Zr2 Mn2'
_cell_length_a 3.130
_cell_length_b 3.130
_cell_length_c 12.066
_cell_angle_alpha 90.00
_cell_angle_beta 90.00
_cell_angle_gamma 90.00
_symmetry_space_group_name_H-M 'I 4 m m'
_symmetry_Int_Tables_number 107
_symmetry_space_group_name_Hall 'I 4 -2'
loop_
_atom_site_label
_atom_site_fract_x
_atom_site_fract_y
_atom_site_fract_z
Mg1 0.000 0.000 0.000
Zr1 0.000 0.000 0.698
Mn1 0.000 0.000 0.346



Record 14
# PBE Mg4ZrMn, relaxed
# Energy relative to the elements ... 328.3 meV/atom
# DFT total energy ... -88.51 eV per cell
# DOS at the Fermi energy ... 1.0506 states/eV/atom
# Crystal system ... cubic
data_Mg4ZrMn
_chemical_formula_sum 'Mg16 Zr4 Mn4'
_cell_length_a 7.961
_cell_length_b 7.961
_cell_length_c 7.961
_cell_angle_alpha 90.00
_cell_angle_beta 90.00
_cell_angle_gamma 90.00
_symmetry_space_group_name_H-M 'F -4 3 m'
_symmetry_Int_Tables_number 216
_symmetry_space_group_name_Hall 'F -4 2 3'
loop_
_atom_site_label
_atom_site_fract_x
_atom_site_fract_y
_atom_site_fract_z
Mg1 0.125 0.125 0.125
Zr1 0.000 0.000 0.500
Mn1 0.250 0.250 0.750